9
Lattice="-2.304 -2.594 -3.261 -3.413 -5.403 2.093 -7.464 -2.918 1.845" Properties=species:S:1:pos:R:3 comment="Re5Tc2Ru2 | Alexandria via LeMat-Bulk | GGA-PBE | optimized geometry" magnetic_moment_mub_per_fu=0.00 n_ef_per_ev_fu=9.60 ef_ev_per_atom=0.05 pbc="T T T"
Re -1.987 -1.788 -0.646
Tc -9.228 -7.351 1.966
Re 0.000 0.000 0.000
Re -5.948 -5.373 -1.932
Re -11.195 -9.127 1.324
Ru -5.580 -4.551 0.662
Ru -7.601 -6.363 0.016
Tc -3.954 -3.563 -1.288
Re -7.233 -5.541 2.610



4
Lattice="2.745 0.002 0.000 -0.002 2.745 0.000 0.000 0.000 7.779" Properties=species:S:1:pos:R:3 comment="Re2TcRu | Alexandria via LeMat-Bulk | GGA-PBE | optimized geometry" magnetic_moment_mub_per_fu=0.00 n_ef_per_ev_fu=3.77 e_above_lowest_polymorph_ev_per_atom=0.0221 ef_ev_per_atom=0.06 pbc="T T T"
Ru 0.000 0.000 3.874
Re 1.371 1.373 1.975
Tc 1.371 1.373 5.835
Re 0.000 0.000 7.764



7
Lattice="2.645 0.000 0.674 0.795 6.071 2.407 -0.288 1.050 6.664" Properties=species:S:1:pos:R:3 comment="Re2Tc3Ru2 | Alexandria via LeMat-Bulk | GGA-PBE | optimized geometry" magnetic_moment_mub_per_fu=0.00 n_ef_per_ev_fu=5.63 ef_ev_per_atom=0.06 pbc="T T T"
Ru 1.040 6.102 6.982
Tc 1.582 2.350 4.862
Tc 1.570 4.771 4.884
Re 2.368 3.609 7.306
Ru 2.113 1.019 2.764
Re 0.784 3.512 2.440
Tc 1.323 0.000 0.337



7
Lattice="-1.450 -3.783 -1.212 5.134 -3.349 4.313 -3.873 1.067 1.302" Properties=species:S:1:pos:R:3 comment="Re2Tc4Ru | Alexandria via LeMat-Bulk | GGA-PBE | optimized geometry" magnetic_moment_mub_per_fu=0.00 n_ef_per_ev_fu=7.73 ef_ev_per_atom=0.35 pbc="T T T"
Tc -1.598 -0.081 2.163
Re -2.661 -1.358 0.045
Re -0.819 -4.924 1.596
Tc 0.194 -3.556 3.491
Ru -1.450 -3.783 -1.212
Tc 2.859 -2.201 3.452
Tc -0.383 -2.509 0.913



6
Lattice="-2.313 -3.155 3.128 -3.629 -3.004 -1.703 0.799 -4.931 -0.372" Properties=species:S:1:pos:R:3 comment="ReTcRu4 | Alexandria via LeMat-Bulk | GGA-PBE | optimized geometry" magnetic_moment_mub_per_fu=0.00 n_ef_per_ev_fu=12.25 e_above_lowest_polymorph_ev_per_atom=0.4074 ef_ev_per_atom=0.51 pbc="T T T"
Tc -3.857 -8.317 0.790
Ru -3.085 -5.736 1.959
Ru -1.929 -4.159 0.395
Re 0.000 0.000 0.000
Ru -3.742 -5.661 -0.456
Ru -1.529 -6.624 0.209



7
Lattice="-2.546 -2.279 -1.835 -2.362 -2.971 2.868 -4.709 4.511 -3.167" Properties=species:S:1:pos:R:3 comment="Re3Tc2Ru2 | Alexandria via LeMat-Bulk | GGA-PBE | optimized geometry" magnetic_moment_mub_per_fu=0.00 n_ef_per_ev_fu=8.00 ef_ev_per_atom=0.04 pbc="T T T"
Ru -3.809 -2.772 0.530
Re -6.897 -0.421 -2.204
Tc -5.449 -0.635 0.151
Ru -5.808 2.034 -2.665
Re 0.000 0.000 0.000
Re -2.720 -0.318 0.070
Tc -4.168 -0.104 -2.285



12
Lattice="-5.204 -1.325 2.636 2.705 -0.327 5.175 -1.003 5.701 0.885" Properties=species:S:1:pos:R:3 comment="ReTc4Ru | Alexandria via LeMat-Bulk | GGA-PBE | optimized geometry" magnetic_moment_mub_per_fu=0.00 n_ef_per_ev_fu=7.43 e_above_lowest_polymorph_ev_per_atom=0.5776 ef_ev_per_atom=0.64 pbc="T T T"
Tc -0.961 2.475 2.315
Tc -1.789 5.243 2.922
Tc -4.065 4.663 4.075
Ru -0.804 4.573 0.710
Re 1.151 0.982 2.765
Re -1.953 3.170 4.526
Tc -2.540 1.566 6.380
Ru -2.905 1.060 1.585
Tc -2.715 4.500 6.658
Tc -0.439 5.079 5.505
Tc 0.388 2.311 4.897
Tc -3.889 1.729 3.798



4
Lattice="-3.861 -1.493 1.095 1.151 -1.576 1.911 0.092 2.932 4.321" Properties=species:S:1:pos:R:3 comment="ReTc2Ru | Alexandria via LeMat-Bulk | GGA-PBE | optimized geometry" magnetic_moment_mub_per_fu=0.00 n_ef_per_ev_fu=3.01 e_above_lowest_polymorph_ev_per_atom=0.1315 ef_ev_per_atom=0.10 pbc="T T T"
Re 0.403 0.993 2.775
Tc -1.403 -0.709 2.457
Tc 0.062 -0.018 0.195
Ru -1.058 0.275 5.016